#A
Compound: Li2CoW2
Source: Alexandria via LeMat-Bulk
Functional: PBE
Structure: optimized geometry

abc: 2.8143 2.8143 8.6016
angles: 80.58 80.58 90.00
Last column: magnetic moment on the atom in μB.
Fractional coordinates of all 5 atoms:
Li: 0.2500 0.7500 0.5000  0.04
Co: 0.0000 0.0000 0.0000  1.02
W: 0.6027 0.6027 0.7946  0.14
W: 0.3973 0.3973 0.2054  0.14
Li: 0.7500 0.2500 0.5000  0.04

Values from the calculation:
* SG: I4/mmm

#B
Compound: Li2CoW2
Source: Alexandria via LeMat-Bulk
Functional: PBE
Structure: optimized geometry

abc: 7.3882 7.3882 2.6262
angles: 90.00 90.00 90.00
Fractional coordinates of all 10 atoms:
Li: 0.3188 0.1812 0.5000
Co: 0.5000 0.5000 0.0000
W: 0.1184 0.3816 0.0000
Li: 0.6812 0.8188 0.5000
W: 0.8816 0.6184 0.0000
Li: 0.1812 0.6812 0.5000
Co: 0.0000 0.0000 0.0000
W: 0.6184 0.1184 0.0000
Li: 0.8188 0.3188 0.5000
W: 0.3816 0.8816 0.0000

Values from the calculation:
* SG: P4/mbm

Short version: #A is the most stable of them.

#A
Compound: Li3YCo
Source: Alexandria via LeMat-Bulk
Functional: PBE
Structure: optimized geometry

abc: 4.9476 4.9476 4.9476
angles: 90.00 90.00 90.00
Last column: magnetic moment on the atom in μB.
Fractional coordinates of all 5 atoms:
Li: 0.5000 0.0000 0.0000  -0.02
Y: 0.0000 0.0000 0.0000  -0.33
Li: 0.0000 0.0000 0.5000  -0.01
Li: 0.0000 0.5000 0.0000  -0.01
Co: 0.5000 0.5000 0.5000  0.17

Values from the calculation:
* SG: Pm-3m

#B
Compound: Li3YCo
Source: Alexandria via LeMat-Bulk
Functional: PBE
Structure: optimized geometry

abc: 4.5341 4.5341 4.5341
angles: 90.00 90.00 90.00
Fractional coordinates of all 5 atoms:
Y: 0.5000 0.5000 0.5000
Li: 0.0000 0.5000 0.0000
Li: 0.0000 0.0000 0.5000
Li: 0.5000 0.0000 0.0000
Co: 0.0000 0.0000 0.0000

Values from the calculation:
* SG: Pm-3m

Short version: #B is the most stable of them.

#A
Compound: LiZn4Co
Source: Alexandria via LeMat-Bulk
Functional: PBE
Structure: optimized geometry

abc: 2.7500 4.1682 7.1867
angles: 89.99 89.98 90.00
Fractional coordinates of all 6 atoms:
Zn: 0.3349 0.4973 0.3663
Co: 0.8348 0.9970 0.4703
Zn: 0.8341 0.4968 0.6687
Li: 0.8352 0.4980 0.0221
Zn: 0.3350 0.9976 0.1679
Zn: 0.3339 0.9969 0.7935

Values from the calculation:
* SG: Pm

#B
Compound: LiZn4Co
Source: Alexandria via LeMat-Bulk
Functional: PBE
Structure: optimized geometry

abc: 4.9530 4.9530 4.9530
angles: 60.00 60.00 60.00
Last column: magnetic moment on the atom in μB.
Fractional coordinates of all 6 atoms:
Zn: 0.3755 0.3755 0.3755  -0.01
Co: 0.7500 0.7500 0.7500  1.20
Zn: 0.3755 0.8734 0.3755  -0.01
Li: 0.0000 0.0000 0.0000  -0.01
Zn: 0.8734 0.3755 0.3755  -0.01
Zn: 0.3755 0.3755 0.8734  -0.01

Values from the calculation:
* SG: F-43m

Short version: #A is the most stable of them.

#A
Compound: Li2Zn2Co
Source: Alexandria via LeMat-Bulk
Functional: PBE
Structure: optimized geometry

abc: 6.2513 6.2513 3.8757
angles: 90.00 90.00 90.00
Last column: magnetic moment on the atom in μB.
Fractional coordinates of all 10 atoms:
Zn: 0.6441 0.1441 0.0000  -0.01
Li: 0.3287 0.1713 0.5000  -0.01
Co: 0.0000 0.0000 0.0000  0.92
Zn: 0.8559 0.6441 0.0000  -0.02
Li: 0.8287 0.3287 0.5000  -0.01
Li: 0.1713 0.6713 0.5000  -0.01
Zn: 0.3559 0.8559 0.0000  -0.01
Co: 0.5000 0.5000 0.0000  0.92
Zn: 0.1441 0.3559 0.0000  -0.02
Li: 0.6713 0.8287 0.5000  -0.01

Values from the calculation:
* SG: P4/mbm

#B
Compound: Li2Zn2Co
Source: Alexandria via LeMat-Bulk
Functional: PBE
Structure: optimized geometry

abc: 7.0086 7.0086 2.6346
angles: 90.00 90.00 90.00
Last column: magnetic moment on the atom in μB.
Fractional coordinates of all 10 atoms:
Zn: 0.1699 0.6699 0.5000  -0.03
Zn: 0.8301 0.3301 0.5000  -0.03
Zn: 0.3301 0.1699 0.5000  -0.03
Co: 0.5000 0.5000 0.0000  1.43
Li: 0.6295 0.1295 0.0000  -0.02
Zn: 0.6699 0.8301 0.5000  -0.03
Li: 0.8705 0.6295 0.0000  -0.02
Li: 0.1295 0.3705 0.0000  -0.02
Co: 0.0000 0.0000 0.0000  1.43
Li: 0.3705 0.8705 0.0000  -0.02

Values from the calculation:
* SG: P4/mbm

Short version: #B is the most stable of them.

#A
Compound: LiZn3Co
Source: Alexandria via LeMat-Bulk
Functional: PBE
Structure: optimized geometry

abc: 4.5763 4.5763 4.5763
angles: 90.00 90.00 90.00
Fractional coordinates of all 5 atoms:
Li: 0.5000 0.5000 0.5000
Zn: 0.0000 0.0000 0.5000
Co: 0.0000 0.0000 0.0000
Zn: 0.0000 0.5000 0.0000
Zn: 0.5000 0.0000 0.0000

Values from the calculation:
* SG: Pm-3m

#B
Compound: LiZn3Co
Source: Alexandria via LeMat-Bulk
Functional: PBE
Structure: optimized geometry

abc: 4.1488 4.1562 7.8332
angles: 90.00 105.50 90.00
Last column: magnetic moment on the atom in μB.
Fractional coordinates of all 10 atoms:
Zn: 0.5668 0.3445 0.4168  -0.01
Zn: 0.0721 0.8443 0.4261  0.00
Zn: 0.4588 0.8445 0.1979  -0.01
Li: 0.8569 0.8443 0.9943  0.00
Li: 0.1685 0.3443 0.6203  0.00
Zn: 0.9537 0.3443 0.1885  0.00
Zn: 0.7617 0.3444 0.8059  0.00
Co: 0.6640 0.8445 0.6090  0.55
Zn: 0.2640 0.8444 0.8085  0.00
Co: 0.3618 0.3445 0.0055  0.55

Values from the calculation:
* SG: P2_1/m

Short version: #B is the most stable of them.

#A
Compound: Lu2MgCo
Source: Alexandria via LeMat-Bulk
Functional: PBE
Structure: optimized geometry

abc: 3.6076 3.6076 9.9386
angles: 79.54 79.54 60.00
Fractional coordinates of all 4 atoms:
Co: 0.5000 0.5000 0.5000
Lu: 0.8847 0.8847 0.3458
Mg: 0.0000 0.0000 0.0000
Lu: 0.1153 0.1153 0.6542

Values from the calculation:
* SG: R-3m

#B
Compound: Lu2MgCo
Source: Alexandria via LeMat-Bulk
Functional: PBE
Structure: optimized geometry

abc: 3.3229 3.3229 7.9088
angles: 90.00 90.00 90.00
Last column: magnetic moment on the atom in μB.
Fractional coordinates of all 4 atoms:
Co: 0.5000 0.5000 0.0000  0.73
Lu: 0.0000 0.0000 0.1996  -0.07
Mg: 0.5000 0.5000 0.5000  0.01
Lu: 0.0000 0.0000 0.8004  -0.07

Values from the calculation:
* SG: P4/mmm

#C
Compound: Lu2MgCo
Source: Alexandria via LeMat-Bulk
Functional: PBE
Structure: optimized geometry

abc: 3.5488 4.8666 4.8666
angles: 90.00 90.00 90.00
Last column: magnetic moment on the atom in μB.
Fractional coordinates of all 4 atoms:
Mg: 0.5000 0.0000 0.0000  0.00
Co: 0.5000 0.5000 0.5000  -0.72
Lu: 0.0000 0.5000 0.0000  0.11
Lu: 0.0000 0.0000 0.5000  0.11

Values from the calculation:
* SG: P4/mmm

#D
Compound: Lu2MgCo
Source: Alexandria via LeMat-Bulk
Functional: PBE
Structure: optimized geometry

abc: 4.8971 4.8971 4.8971
angles: 60.00 60.00 60.00
Last column: magnetic moment on the atom in μB.
Fractional coordinates of all 4 atoms:
Lu: 0.2500 0.2500 0.2500  -0.03
Mg: 0.5000 0.5000 0.5000  0.00
Co: 0.0000 0.0000 0.0000  0.18
Lu: 0.7500 0.7500 0.7500  -0.03

Values from the calculation:
* SG: Fm-3m

Short version: #B is the most stable of them.